V2B2F PBE+U relaxed; total magnetic moment = 4.72 μB per cell; ΔE to the lowest computed polymorph = 188 meV/atom; V = 61.07 Å³/f.u.
1.0
-2.0716 2.0716 3.5578
2.0716 -2.0716 3.5578
2.0716 2.0716 -3.5578
V B F
2 2 1
Direct
0.2500 0.7500 0.5000
0.7500 0.2500 0.5000
0.1103 0.1103 0.0000
0.8897 0.8897 0.0000
0.5000 0.5000 0.0000